Entry from Alexandria: a relaxed Er2HfIn crystal (GGA-PBE).

Summary:
- DFT total energy: -5.624 eV per atom
- Spin magnetization: 0.0 Bohr magnetons per cell
- Energy of formation from the pure elements: -0.170 eV/atom

The structure in CIF format:
```
data_Er2HfIn
_chemical_formula_sum 'Er2 Hf1 In1'
_cell_length_a 3.396
_cell_length_b 3.396
_cell_length_c 9.024
_cell_angle_alpha 90.00
_cell_angle_beta 90.00
_cell_angle_gamma 90.00
_symmetry_space_group_name_H-M 'P 1'
_symmetry_Int_Tables_number 1
loop_
_symmetry_equiv_pos_as_xyz
'x,y,z'
loop_
_atom_site_label
_atom_site_fract_x
_atom_site_fract_y
_atom_site_fract_z
_atom_site_occupancy
Er1 0.000 0.000 0.248 1
Er2 0.000 0.000 0.752 1
Hf1 0.500 0.500 0.500 1
In1 0.500 0.500 0.000 1
```